# 1
Below is CsK2HgIr after structural relaxation, with properties calculated at the PBE level.

DFT total energy: -1.58 eV per atom

Unit cell a=6.857 b=6.857 c=5.242 alpha=90.00 beta=90.00 gamma=90.00
Space group P4/mmm (No. 123)
Unique sites:
Cs: 0.000 0.000 0.000 (multiplicity 1)
K: 0.000 0.500 0.000 (multiplicity 2)
Hg: 0.500 0.500 0.500 (multiplicity 1)
Ir: 0.000 0.000 0.500 (multiplicity 1)

# 2
Below is CsSi3Sb after structural relaxation, with properties calculated at the PBE level.

excess energy over the best structure of this formula in the dataset: 0.0000 eV/atom

Unit cell a=5.445 b=5.445 c=5.445 alpha=90.00 beta=90.00 gamma=90.00
Space group Pm-3m (No. 221)
Unique sites:
Cs: 0.000 0.000 0.000 (multiplicity 1)
Si: 0.000 0.500 0.500 (multiplicity 3)
Sb: 0.500 0.500 0.500 (multiplicity 1)

# 3
Below is NaLi2MgGe after structural relaxation, with properties calculated at the PBE level.

DFT total energy: -2.34 eV per atom

Unit cell a=5.030 b=5.030 c=5.096 alpha=90.00 beta=90.00 gamma=90.00
Space group P4/mmm (No. 123)
Unique sites:
Na: 0.000 0.000 0.000 (multiplicity 1)
Li: 0.000 0.500 0.500 (multiplicity 2)
Mg: 0.500 0.500 0.000 (multiplicity 1)
Ge: 0.500 0.500 0.500 (multiplicity 1)

# 4
Below is La3InGe after structural relaxation, with properties calculated at the PBE level.

excess energy over the best structure of this formula in the dataset: 0.3222 eV/atom

Unit cell a=5.746 b=5.746 c=5.746 alpha=90.00 beta=90.00 gamma=90.00
Space group Pm-3m (No. 221)
Unique sites:
La: 0.000 0.000 0.500 (multiplicity 3)
In: 0.500 0.500 0.500 (multiplicity 1)
Ge: 0.000 0.000 0.000 (multiplicity 1)